SrAgSbTe2: optimized geometry, PBE.

VASP energy = -0.2360 Ry/atom
uncorrected formation energy = -0.2238 eV per atom
calculated volume = 168 Å³ per cell
energy above the lowest structure with this stoichiometry = 0.0 meV/atom
calculated density = 5.66 Mg/m³
crystal system = tetragonal

Unit cell a=5.667 b=5.667 c=5.232 alpha=90.00 beta=90.00 gamma=90.00
Fractional positions:
Sb1 0.000 0.000 0.500
Sr1 0.500 0.500 0.500
Ag1 0.000 0.000 0.000
Te1 0.000 0.500 0.000
Te2 0.500 0.000 0.000